1.
DFT (PBE) results for a geometry-optimized Mg2CdGa structure.

Cell lengths 3.3985, 3.3985, 7.0848 Å; angles 90.00, 90.00, 90.00 degrees
Space group P4/mmm (No. 123)
One atom of each set of equivalent atoms:
Mg (0.0000, 0.0000, 0.2357) [2 per cell]
Cd (0.5000, 0.5000, 0.5000) [1 per cell]
Ga (0.5000, 0.5000, 0.0000) [1 per cell]

## Properties
- VASP energy (eV per atom) = -1.91

2.
DFT (PBE) results for a geometry-optimized Mg2CdGa structure.

Cell lengths 3.0591, 5.3123, 11.7845 Å; angles 90.00, 90.00, 90.00 degrees
Space group Immm (No. 71)
One atom of each set of equivalent atoms:
Mg (0.0000, 0.0000, 0.2406) [4 per cell]
Cd (0.0000, 0.0000, 0.5000) [2 per cell]
Ga (0.0000, 0.0000, 0.0000) [2 per cell]

## Properties
- VASP energy (eV per atom) = -1.62